[1]
# Tb3YAu2 | Alexandria via LeMat-Bulk | PBE | optimized geometry
data_Tb3YAu2
_chemical_formula_sum 'Tb6 Y2 Au4'
_symmetry_space_group_name_H-M 'P m c 21'
_symmetry_Int_Tables_number 26
_symmetry_space_group_name_Hall 'P 2c -2'
_cell_length_a 4.9888
_cell_length_b 8.9963
_cell_length_c 7.1391
_cell_angle_alpha 90.00
_cell_angle_beta 90.00
_cell_angle_gamma 90.00
loop_
_atom_site_label
_atom_site_type_symbol
_atom_site_fract_x
_atom_site_fract_y
_atom_site_fract_z
_atom_site_occupancy
Tb1 Tb 0.0000 0.0749 0.0000 1
Tb2 Tb 0.0000 0.3311 0.3625 1
Tb3 Tb 0.5000 0.1674 0.6620 1
Y1 Y 0.5000 0.4276 0.0240 1
Au1 Au 0.0000 0.3489 0.7696 1
Au2 Au 0.5000 0.1527 0.2539 1
# **ΔE_f**: -632 meV per atom
# **Energy**: -5.12 eV per atom
# **Polymorph energy (0 for the lowest one)**: 0 meV per atom
# **M_tot**: 0.0 Bohr magnetons per cell

***

[2]
# KZnAg2 | Alexandria via LeMat-Bulk | PBE | optimized geometry
data_KZnAg2
_chemical_formula_sum 'K2 Zn2 Ag4'
_symmetry_space_group_name_H-M 'C 1 2/m 1'
_symmetry_Int_Tables_number 12
_symmetry_space_group_name_Hall '-C 2y'
_cell_length_a 6.3223
_cell_length_b 10.7686
_cell_length_c 2.9495
_cell_angle_alpha 90.00
_cell_angle_beta 115.20
_cell_angle_gamma 90.00
loop_
_atom_site_label
_atom_site_type_symbol
_atom_site_fract_x
_atom_site_fract_y
_atom_site_fract_z
_atom_site_occupancy
K1 K 0.0000 0.0000 0.0000 1
Zn1 Zn 0.0000 0.5000 0.0000 1
Ag1 Ag 0.2500 0.2500 0.5000 1
# **ΔE_f**: 292 meV per atom
# **Energy**: -1.73 eV per atom
# **M_tot**: 0.0 Bohr magnetons per cell

***

[3]
# Rb2MgBeP | Alexandria via LeMat-Bulk | PBE | optimized geometry
data_Rb2MgBeP
_chemical_formula_sum 'Rb2 Mg1 Be1 P1'
_symmetry_space_group_name_H-M 'P 4/m m m'
_symmetry_Int_Tables_number 123
_symmetry_space_group_name_Hall '-P 4 2'
_cell_length_a 6.9757
_cell_length_b 6.9757
_cell_length_c 4.6122
_cell_angle_alpha 90.00
_cell_angle_beta 90.00
_cell_angle_gamma 90.00
loop_
_atom_site_label
_atom_site_type_symbol
_atom_site_fract_x
_atom_site_fract_y
_atom_site_fract_z
_atom_site_occupancy
Rb1 Rb 0.0000 0.5000 0.0000 1
Mg1 Mg 0.0000 0.0000 0.0000 1
Be1 Be 0.5000 0.5000 0.5000 1
P1 P 0.0000 0.0000 0.5000 1
# **ΔE_f**: 590 meV per atom
# **Energy**: -1.94 eV per atom
# **M_tot**: 0.0 Bohr magnetons per cell

***

[4]
# TbSmSb | Alexandria via LeMat-Bulk | PBE | optimized geometry
data_TbSmSb
_chemical_formula_sum 'Tb1 Sm1 Sb1'
_symmetry_space_group_name_H-M 'P 3 m 1'
_symmetry_Int_Tables_number 156
_symmetry_space_group_name_Hall 'P 3 -2"'
_cell_length_a 5.0914
_cell_length_b 5.0914
_cell_length_c 4.1013
_cell_angle_alpha 90.00
_cell_angle_beta 90.00
_cell_angle_gamma 120.00
loop_
_atom_site_label
_atom_site_type_symbol
_atom_site_fract_x
_atom_site_fract_y
_atom_site_fract_z
_atom_site_occupancy
Tb1 Tb 0.0000 0.0000 0.0000 1
Sm1 Sm 0.6667 0.3333 0.5255 1
Sb1 Sb 0.3333 0.6667 0.1963 1
# **ΔE_f (raw)**: -1.33 eV/f.u.
# **Energy**: -4.94 eV per atom
# **Polymorph energy (0 for the lowest one)**: 384 meV per atom
# **M_tot**: 0.0 Bohr magnetons per cell

***

[5]
# KZn3Pb | Alexandria via LeMat-Bulk | PBE | optimized geometry
data_KZn3Pb
_chemical_formula_sum 'K1 Zn3 Pb1'
_symmetry_space_group_name_H-M 'P m -3 m'
_symmetry_Int_Tables_number 221
_symmetry_space_group_name_Hall '-P 4 2 3'
_cell_length_a 5.6184
_cell_length_b 5.6184
_cell_length_c 5.6184
_cell_angle_alpha 90.00
_cell_angle_beta 90.00
_cell_angle_gamma 90.00
loop_
_atom_site_label
_atom_site_type_symbol
_atom_site_fract_x
_atom_site_fract_y
_atom_site_fract_z
_atom_site_occupancy
K1 K 0.0000 0.0000 0.0000 1
Zn1 Zn 0.0000 0.5000 0.5000 1
Pb1 Pb 0.5000 0.5000 0.5000 1
# **ΔE_f**: 330 meV per atom
# **Energy**: -1.40 eV per atom
# **Polymorph energy (0 for the lowest one)**: 0 meV per atom
# **M_tot**: 0.0 Bohr magnetons per cell

***

[6]
# RbPm3Se4O12 | Alexandria via LeMat-Bulk | PBE | optimized geometry
data_RbPm3Se4O12
_chemical_formula_sum 'Rb3 Pm9 Se12 O36'
_symmetry_space_group_name_H-M 'R 3 2'
_symmetry_Int_Tables_number 155
_symmetry_space_group_name_Hall 'R 3 2"'
_cell_length_a 12.5450
_cell_length_b 12.5450
_cell_length_c 8.7418
_cell_angle_alpha 90.00
_cell_angle_beta 90.00
_cell_angle_gamma 120.00
loop_
_atom_site_label
_atom_site_type_symbol
_atom_site_fract_x
_atom_site_fract_y
_atom_site_fract_z
_atom_site_occupancy
Rb1 Rb 0.0000 0.0000 0.0000 1
Pm1 Pm 0.0000 0.5660 0.0000 1
Se1 Se 0.0000 0.0000 0.5000 1
Se2 Se 0.0000 0.4336 0.5000 1
O1 O 0.0000 0.6172 0.5000 1
O2 O 0.0000 0.8485 0.5000 1
O3 O 0.0454 0.2509 0.1701 1
# **ΔE_f (raw)**: -31.51 eV/f.u.
# **Energy**: -6.01 eV per atom
# **M_tot**: 1.7 Bohr magnetons per cell